## Cd4W6O19 (PBE+U)

Data for a geometry-optimized Cd4W6O19 structure.

The space group is I23 (No. 197) and the conventional cell measures 9.247, 9.247 and 9.247 Å, with angles of 90.00, 90.00 and 90.00 degrees. The inequivalent atoms are Cd at (0.138, 0.138, 0.862), W at (0.000, 0.358, 0.500), O at (0.000, 0.000, 0.000), O at (0.000, 0.000, 0.332) and O at (0.021, 0.341, 0.709).

As for the magnetic moment: 0.000 μB per cell. The uncorrected energy is -6.4775 eV per atom.